Record 1
## LaZrSe2N (PBE)

Data for a relaxed LaZrSe2N crystal.

Properties
**Energy relative to the lowest polymorph listed for this composition**: 0.00 eV/f.u.
**Formation energy (no corrections)**: -1.17 eV/atom
**Size of the total moment**: 0.00 μB per atom

Cell and atoms, written as CIF:
```
data_LaZrSe2N
_symmetry_space_group_name_H-M 'P 4/m m m'
_symmetry_Int_Tables_number 123
_symmetry_space_group_name_Hall '-P 4 2'
_cell_length_a 5.3133
_cell_length_b 5.3133
_cell_length_c 4.0949
_cell_angle_alpha 90.00
_cell_angle_beta 90.00
_cell_angle_gamma 90.00
loop_
_atom_site_label
_atom_site_type_symbol
_atom_site_fract_x
_atom_site_fract_y
_atom_site_fract_z
La1 La 0.0000 0.0000 0.0000
Zr1 Zr 0.5000 0.5000 0.5000
Se1 Se 0.0000 0.5000 0.5000
N1 N 0.5000 0.5000 0.0000
```

***

Record 2
## ScTeRu2 (PBE)

Data for a relaxed ScTeRu2 crystal.

Properties
**Formation energy (no corrections)**: 0.10 eV/atom
**Size of the total moment**: 0.00 μB per atom

Cell and atoms, written as CIF:
```
data_ScTeRu2
_symmetry_space_group_name_H-M 'R -3 m'
_symmetry_Int_Tables_number 166
_symmetry_space_group_name_Hall '-R 3 2"'
_cell_length_a 3.2011
_cell_length_b 3.2011
_cell_length_c 24.4049
_cell_angle_alpha 90.00
_cell_angle_beta 90.00
_cell_angle_gamma 120.00
loop_
_atom_site_label
_atom_site_type_symbol
_atom_site_fract_x
_atom_site_fract_y
_atom_site_fract_z
Sc1 Sc 0.0000 0.0000 0.0000
Te1 Te 0.0000 0.0000 0.5000
Ru1 Ru 0.0000 0.0000 0.2485
```